## Tb6Nd2Y (GGA-PBE)

Data for a geometry-optimized Tb6Nd2Y structure.

Properties
Distance to the lowest polymorph of the same formula: 0 meV/atom
DFT formation energy: 0.106 eV per atom
Electronic total energy: -4.76 eV/atom
Space-group type: C2/c, No. 15

Cell: 10.3493 10.3493 6.2095 Å, 92.33 92.33 117.29°
Sites, in units of the cell vectors:
Tb (0.0151, 0.1651, 0.4975)
Tb (0.0955, 0.5955, 0.7173)
Tb (0.1651, 0.0151, 0.9975)
Tb (0.3349, 0.4847, 0.5028)
Tb (0.4045, 0.9045, 0.7827)
Tb (0.4847, 0.3349, 0.0028)
Tb (0.5153, 0.6651, 0.9972)
Tb (0.5955, 0.0955, 0.2173)
Tb (0.6651, 0.5153, 0.4972)
Tb (0.8349, 0.9849, 0.0025)
Tb (0.9045, 0.4045, 0.2827)
Tb (0.9849, 0.8349, 0.5025)
Nd (0.1477, 0.3521, 0.0000)
Nd (0.3521, 0.1477, 0.5000)
Nd (0.6479, 0.8523, 0.5000)
Nd (0.8523, 0.6479, 0.0000)
Y (0.2502, 0.7498, 0.2500)
Y (0.7498, 0.2502, 0.7500)